The following is a DFT calculation (PBE) of a relaxed structure of PrSmO.

Results
Its crystal system is trigonal. For the formation energy without anion corrections, the calculation gives -1.690 eV/atom. The calculation puts the volume at 23.73 A^3/atom. For the total energy, the calculation gives -19.53 eV per cell.

Cell and atoms, written as POSCAR:
```
PrSmO
1.0
-3.642 0.500 0.183
1.419 -2.300 -2.498
-0.428 -4.573 3.967
Sm O Pr
1 1 1
Direct
0.667 0.333 0.445
0.333 0.667 0.654
0.000 0.000 0.901
```



The following is a DFT calculation (PBE) of a relaxed structure of Pr4Sm2O.

Results
Its crystal system is tetragonal. For the formation energy without anion corrections, the calculation gives -0.603 eV/atom. The calculation puts the volume at 32.19 A^3/atom. For the total energy, the calculation gives -37.74 eV per cell.

Cell and atoms, written as POSCAR:
```
Pr4Sm2O
1.0
-4.047 1.581 2.487
-2.946 -2.298 -3.333
3.656 -7.107 5.428
Pr Sm O
4 2 1
Direct
0.139 0.139 0.277
0.000 0.500 0.000
0.861 0.861 0.723
0.500 0.000 0.000
0.660 0.660 0.321
0.340 0.340 0.679
0.000 0.000 0.000
```



The following is a DFT calculation (PBE) of a relaxed structure of PrSmO.

Results
Its crystal system is orthorhombic. For the formation energy without anion corrections, the calculation gives -1.693 eV/atom. The calculation puts the volume at 23.66 A^3/atom. For the total energy, the calculation gives -39.07 eV per cell.

Cell and atoms, written as POSCAR:
```
PrSmO
1.0
-1.266 -3.108 -1.504
2.815 1.782 -1.558
7.781 -6.419 6.717
O Pr Sm
2 2 2
Direct
0.168 0.832 0.337
0.832 0.168 0.837
0.498 0.502 0.712
0.502 0.498 0.212
0.165 0.835 0.939
0.835 0.165 0.439
```



The following is a DFT calculation (PBE) of a relaxed structure of PrSm3O.

Results
Its crystal system is cubic. For the formation energy without anion corrections, the calculation gives -1.073 eV/atom. The calculation puts the volume at 26.14 A^3/atom. For the total energy, the calculation gives -29.26 eV per cell.

Cell and atoms, written as POSCAR:
```
PrSm3O
1.0
5.075 0.000 0.000
0.000 5.075 0.000
0.000 0.000 5.075
Sm O Pr
3 1 1
Direct
0.500 0.000 0.000
0.000 0.500 0.000
0.000 0.000 0.500
0.000 0.000 0.000
0.500 0.500 0.500
```



The following is a DFT calculation (PBE) of a relaxed structure of PrSmO3.

Results
Its crystal system is hexagonal. For the formation energy without anion corrections, the calculation gives -3.166 eV/atom. The calculation puts the volume at 21.45 A^3/atom. For the total energy, the calculation gives -40.20 eV per cell.

Cell and atoms, written as POSCAR:
```
PrSmO3
1.0
-0.619 2.313 -2.120
-6.105 -0.848 0.857
-3.002 3.225 4.395
Sm O Pr
1 3 1
Direct
0.220 0.433 0.396
0.720 0.269 0.723
0.720 0.760 0.232
0.720 0.269 0.232
0.220 0.099 0.062
```



The following is a DFT calculation (PBE) of a relaxed structure of Pr2SmO4.

Results
Its crystal system is cubic. For the formation energy without anion corrections, the calculation gives -3.032 eV/atom. The calculation puts the volume at 18.26 A^3/atom. For the total energy, the calculation gives -110.67 eV per cell.

Cell and atoms, written as POSCAR:
```
Pr2SmO4
1.0
7.119 0.261 -0.114
-0.253 7.119 0.117
-3.348 -3.767 5.033
O Sm Pr
8 2 4
Direct
0.379 0.136 0.757
0.378 0.621 0.757
0.386 0.129 0.257
0.872 0.129 0.743
0.871 0.614 0.743
0.871 0.128 0.257
0.864 0.621 0.243
0.379 0.622 0.243
0.250 0.750 0.500
0.000 0.000 0.000
0.125 0.375 0.750
0.625 0.875 0.250
0.625 0.375 0.750
0.625 0.375 0.250
```



The following is a DFT calculation (PBE) of a relaxed structure of PrSmO3.

Results
Its crystal system is trigonal. For the formation energy without anion corrections, the calculation gives -3.218 eV/atom. The calculation puts the volume at 16.91 A^3/atom. For the total energy, the calculation gives -80.92 eV per cell.

Cell and atoms, written as POSCAR:
```
PrSmO3
1.0
-2.493 5.115 1.455
-3.541 2.730 -3.809
-6.455 -0.161 1.357
Sm Pr O
2 2 6
Direct
0.647 0.647 0.058
0.353 0.353 0.942
0.856 0.856 0.431
0.144 0.144 0.569
0.955 0.537 0.248
0.260 0.955 0.248
0.045 0.740 0.752
0.537 0.260 0.248
0.463 0.045 0.752
0.740 0.463 0.752
```



The following is a DFT calculation (PBE) of a relaxed structure of Pr2Sm4Sn3O2.

Results
Its crystal system is tetragonal. For the formation energy without anion corrections, the calculation gives -1.501 eV/atom. The calculation puts the volume at 26.87 A^3/atom. For the total energy, the calculation gives -66.87 eV per cell.

Cell and atoms, written as POSCAR:
```
Pr2Sm4Sn3O2
1.0
4.775 0.000 0.000
0.000 4.775 0.000
-2.388 -2.388 12.963
Sm O Sn Pr
4 2 3 2
Direct
0.918 0.418 0.836
0.082 0.582 0.164
0.418 0.918 0.836
0.582 0.082 0.164
0.403 0.403 0.806
0.597 0.597 0.194
0.824 0.824 0.648
0.000 0.000 0.000
0.176 0.176 0.352
0.695 0.695 0.389
0.305 0.305 0.611
```



The following is a DFT calculation (PBE) of a relaxed structure of Pr4Sm2Sn3O2.

Results
Its crystal system is tetragonal. For the formation energy without anion corrections, the calculation gives -1.450 eV/atom. The calculation puts the volume at 27.73 A^3/atom. For the total energy, the calculation gives -66.43 eV per cell.

Cell and atoms, written as POSCAR:
```
Pr4Sm2Sn3O2
1.0
4.852 0.000 0.000
0.000 4.852 0.000
-2.426 -2.426 12.957
Pr O Sm Sn
4 2 2 3
Direct
0.917 0.417 0.834
0.417 0.917 0.834
0.083 0.583 0.166
0.583 0.083 0.166
0.605 0.605 0.209
0.395 0.395 0.791
0.695 0.695 0.389
0.305 0.305 0.611
0.000 0.000 0.000
0.821 0.821 0.642
0.179 0.179 0.358
```



The following is a DFT calculation (PBE) of a relaxed structure of PrSmTc2O8.

Results
Its crystal system is tetragonal. For the formation energy without anion corrections, the calculation gives -2.208 eV/atom. The calculation puts the volume at 13.66 A^3/atom. For the total energy, the calculation gives -96.39 eV per cell.

Cell and atoms, written as POSCAR:
```
PrSmTc2O8
1.0
-0.903 -5.239 0.151
3.496 -0.716 -3.943
2.957 2.356 5.781
O Tc Sm Pr
8 2 1 1
Direct
0.085 0.992 0.671
0.587 0.679 0.671
0.166 0.580 0.833
0.420 0.334 0.167
0.666 0.253 0.833
0.321 0.915 0.329
0.747 0.834 0.167
0.008 0.413 0.329
0.500 0.500 0.000
0.250 0.750 0.500
0.000 0.000 0.000
0.750 0.250 0.500
```



The following is a DFT calculation (PBE) of a relaxed structure of PrSmTe2O.

Results
Its crystal system is tetragonal. For the formation energy without anion corrections, the calculation gives -2.056 eV/atom. The calculation puts the volume at 29.30 A^3/atom. For the total energy, the calculation gives -62.04 eV per cell.

Cell and atoms, written as POSCAR:
```
PrSmTe2O
1.0
4.267 0.000 0.000
0.000 4.267 0.000
0.000 0.000 16.091
O Sm Pr Te
2 2 2 4
Direct
0.000 0.000 0.500
0.500 0.500 0.500
0.000 0.500 0.868
0.500 0.000 0.132
0.500 0.000 0.569
0.000 0.500 0.431
0.500 0.000 0.916
0.500 0.000 0.313
0.000 0.500 0.084
0.000 0.500 0.687
```



The following is a DFT calculation (PBE) of a relaxed structure of Pr2SmTeO8.

Results
Its crystal system is monoclinic. For the formation energy without anion corrections, the calculation gives -2.356 eV/atom. The calculation puts the volume at 14.44 A^3/atom. For the total energy, the calculation gives -85.36 eV per cell.

Cell and atoms, written as POSCAR:
```
Pr2SmTeO8
1.0
-2.237 -0.136 -3.716
-1.762 -4.910 1.744
-5.655 3.196 3.287
Pr O Te Sm
2 8 1 1
Direct
0.500 0.500 0.249
0.500 0.500 0.751
0.455 0.247 0.500
0.063 0.768 0.796
0.937 0.232 0.796
0.593 0.825 0.000
0.937 0.232 0.204
0.063 0.768 0.204
0.545 0.753 0.500
0.407 0.175 0.000
0.000 0.000 0.000
0.000 0.000 0.500
```



The following is a DFT calculation (PBE) of a relaxed structure of Pr12SmTl4O3.

Results
Its crystal system is cubic. For the formation energy without anion corrections, the calculation gives -0.733 eV/atom. The calculation puts the volume at 28.06 A^3/atom. For the total energy, the calculation gives -101.06 eV per cell.

Cell and atoms, written as POSCAR:
```
Pr12SmTl4O3
1.0
9.000 0.000 0.000
-3.000 8.485 0.000
-3.000 -4.243 7.348
Pr Tl Sm O
12 4 1 3
Direct
0.750 0.250 0.500
0.750 0.500 0.250
0.000 0.273 0.273
0.250 0.500 0.750
0.500 0.250 0.750
0.727 0.000 0.727
0.273 0.000 0.273
0.000 0.727 0.727
0.250 0.750 0.500
0.273 0.273 0.000
0.500 0.750 0.250
0.727 0.727 0.000
0.000 0.500 0.000
0.500 0.000 0.000
0.000 0.000 0.500
0.500 0.500 0.500
0.000 0.000 0.000
0.500 0.500 0.000
0.000 0.500 0.500
0.500 0.000 0.500
```



The following is a DFT calculation (PBE) of a relaxed structure of Pr4Sm2Tl3O2.

Results
Its crystal system is tetragonal. For the formation energy without anion corrections, the calculation gives -1.178 eV/atom. The calculation puts the volume at 27.96 A^3/atom. For the total energy, the calculation gives -58.53 eV per cell.

Cell and atoms, written as POSCAR:
```
Pr4Sm2Tl3O2
1.0
-1.754 2.099 -4.057
-4.122 -2.600 0.437
-2.230 9.634 8.898
Tl Pr Sm O
3 4 2 2
Direct
0.000 0.000 0.000
0.177 0.177 0.355
0.823 0.823 0.645
0.414 0.914 0.828
0.586 0.086 0.172
0.914 0.414 0.828
0.086 0.586 0.172
0.302 0.302 0.604
0.698 0.698 0.396
0.394 0.394 0.788
0.606 0.606 0.212
```



The following is a DFT calculation (PBE) of a relaxed structure of PrSm2TlO.

Results
Its crystal system is tetragonal. For the formation energy without anion corrections, the calculation gives -1.348 eV/atom. The calculation puts the volume at 24.35 A^3/atom. For the total energy, the calculation gives -28.28 eV per cell.

Cell and atoms, written as POSCAR:
```
PrSm2TlO
1.0
5.040 0.000 0.000
0.000 4.915 0.000
0.000 0.000 4.915
Sm O Pr Tl
2 1 1 1
Direct
0.000 0.500 0.000
0.000 0.000 0.500
0.000 0.000 0.000
0.500 0.000 0.000
0.500 0.500 0.500
```



The following is a DFT calculation (PBE) of a relaxed structure of Pr2Sm4Tl3O2.

Results
Its crystal system is tetragonal. For the formation energy without anion corrections, the calculation gives -1.223 eV/atom. The calculation puts the volume at 27.14 A^3/atom. For the total energy, the calculation gives -58.91 eV per cell.

Cell and atoms, written as POSCAR:
```
Pr2Sm4Tl3O2
1.0
-4.287 1.898 1.122
-2.015 -2.377 -3.678
0.767 -9.726 9.026
O Pr Sm Tl
2 2 4 3
Direct
0.600 0.600 0.200
0.400 0.400 0.800
0.303 0.303 0.606
0.697 0.697 0.394
0.916 0.416 0.832
0.584 0.084 0.168
0.416 0.916 0.832
0.084 0.584 0.168
0.175 0.175 0.349
0.000 0.000 0.000
0.825 0.825 0.651
```



The following is a DFT calculation (PBE) of a relaxed structure of PrSm12Tl4O3.

Results
Its crystal system is cubic. For the formation energy without anion corrections, the calculation gives -0.732 eV/atom. The calculation puts the volume at 26.35 A^3/atom. For the total energy, the calculation gives -100.39 eV per cell.

Cell and atoms, written as POSCAR:
```
PrSm12Tl4O3
1.0
8.813 0.000 0.000
-2.938 8.309 0.000
-2.938 -4.154 7.196
Sm Tl Pr O
12 4 1 3
Direct
0.726 0.000 0.726
0.274 0.000 0.274
0.750 0.250 0.500
0.250 0.750 0.500
0.500 0.250 0.750
0.500 0.750 0.250
0.726 0.726 0.000
0.750 0.500 0.250
0.274 0.274 0.000
0.000 0.726 0.726
0.000 0.274 0.274
0.250 0.500 0.750
0.500 0.500 0.500
0.000 0.500 0.000
0.500 0.000 0.000
0.000 0.000 0.500
0.000 0.000 0.000
0.500 0.500 0.000
0.000 0.500 0.500
0.500 0.000 0.500
```



The following is a DFT calculation (PBE) of a relaxed structure of Pr2SmUO8.

Results
Its crystal system is orthorhombic. For the formation energy without anion corrections, the calculation gives -3.166 eV/atom. The calculation puts the volume at 14.21 A^3/atom. For the total energy, the calculation gives -103.23 eV per cell.

Cell and atoms, written as POSCAR:
```
Pr2SmUO8
1.0
-1.543 2.910 -2.195
-0.542 -3.523 -4.288
-7.074 -1.901 2.455
O U Pr Sm
8 1 2 1
Direct
0.500 0.247 0.500
0.500 0.780 0.000
0.500 0.220 0.000
0.000 0.233 0.779
0.000 0.767 0.221
0.500 0.753 0.500
0.000 0.233 0.221
0.000 0.767 0.779
0.000 0.000 0.000
0.500 0.500 0.752
0.500 0.500 0.248
0.000 0.000 0.500
```



The following is a DFT calculation (PBE) of a relaxed structure of PrSmUO6.

Results
Its crystal system is trigonal. For the formation energy without anion corrections, the calculation gives -3.278 eV/atom. The calculation puts the volume at 16.37 A^3/atom. For the total energy, the calculation gives -160.08 eV per cell.

Cell and atoms, written as POSCAR:
```
PrSmUO6
1.0
5.928 0.000 0.000
-2.964 5.134 0.000
0.000 0.000 9.681
Sm O U Pr
2 12 2 2
Direct
0.667 0.333 0.750
0.333 0.667 0.250
0.335 0.365 0.864
0.635 0.969 0.864
0.635 0.665 0.636
0.665 0.635 0.136
0.031 0.365 0.636
0.031 0.665 0.864
0.335 0.969 0.636
0.365 0.335 0.364
0.365 0.031 0.136
0.969 0.635 0.364
0.665 0.031 0.364
0.969 0.335 0.136
0.333 0.667 0.750
0.667 0.333 0.250
0.000 0.000 0.000
0.000 0.000 0.500
```